# PBE Re3AuS, relaxed
# excess energy over the best structure of this formula in the dataset: 2254.1 meV/atom
# crystal system: cubic
# formation energy from raw total energies: 314.42 kJ/mol of atoms
# volume: 23.38 Å³ per atom
# DOS(E_F): 8.25 states/eV/cell
# theoretical density: 11.19 g/cm³
data_Re3AuS
_space_group_name_H-M_alt 'P m -3 m'
_space_group_IT_number 221
_space_group_name_Hall '-P 4 2 3'
_cell_length_a 4.8896
_cell_length_b 4.8896
_cell_length_c 4.8896
_cell_angle_alpha 90.00
_cell_angle_beta 90.00
_cell_angle_gamma 90.00
loop_
_atom_site_label
_atom_site_fract_x
_atom_site_fract_y
_atom_site_fract_z
Re1 0.0000 0.0000 0.5000
Au1 0.0000 0.0000 0.0000
S1 0.5000 0.5000 0.5000